Model one:
Crystalline Tm6Zn2Rh at its relaxed geometry. Source: the Alexandria database, functional PBE-GGA.

N(E_F) in states/eV per atom: 1.241
Calculated density in g/cm3: 8.64
Magnetization in μB per formula unit: 0.00

Lattice parameters (Å, degrees): 4.8953 6.8296 14.3458 90.00 90.00 90.00
Space group Immm (No. 71)
Inequivalent atoms, fractional coordinates:
Tm  0.0000  0.2419  0.0000
Tm  0.0000  0.2532  0.3393
Zn  0.0000  0.5000  0.1668
Rh  0.0000  0.5000  0.5000



Model two:
Crystalline Tm6Zn2Rh at its relaxed geometry. Source: the Alexandria database, functional PBE-GGA.

N(E_F) in states/eV per atom: 0.888
Calculated density in g/cm3: 9.51
Magnetization in μB per formula unit: 0.00

Lattice parameters (Å, degrees): 9.3481 9.4395 9.8689 90.00 90.00 90.00
Space group Immm (No. 71)
Inequivalent atoms, fractional coordinates:
Tm  0.0000  0.1748  0.2495
Tm  0.1742  0.5000  0.2210
Tm  0.2351  0.3102  0.5000
Zn  0.0000  0.3626  0.0000
Zn  0.1288  0.0000  0.5000
Rh  0.0000  0.0000  0.0000
Rh  0.0000  0.5000  0.5000



Winner for stability: model two



Model one:
Crystalline U2Rh13 at its relaxed geometry. Source: the Alexandria database, functional PBE-GGA.

N(E_F) in states/eV per atom: 1.193
Calculated density in g/cm3: 10.55
Magnetization in μB per formula unit: 0.00

Lattice parameters (Å, degrees): 6.8796 6.8796 20.8936 90.00 90.00 120.00
Space group R-3m (No. 166, hexagonal axes)
Inequivalent atoms, fractional coordinates:
U  0.0000  0.0000  0.2461
Rh  0.0000  0.0000  0.5000
Rh  0.0616  0.5308  0.0587
Rh  0.0847  0.5423  0.7987



Model two:
Crystalline U2Rh13 at its relaxed geometry. Source: the Alexandria database, functional PBE-GGA.

N(E_F) in states/eV per atom: 1.418
Calculated density in g/cm3: 10.79
Magnetization in μB per formula unit: 0.00

Lattice parameters (Å, degrees): 6.9286 6.9286 20.1365 90.00 90.00 120.00
Space group R-3m (No. 166, hexagonal axes)
Inequivalent atoms, fractional coordinates:
U  0.0000  0.0000  0.1306
Rh  0.0000  0.0000  0.0000
Rh  0.0702  0.5351  0.4297
Rh  0.0864  0.5432  0.2980



Winner for stability: model one



Model one:
Crystalline UVRh at its relaxed geometry. Source: the Alexandria database, functional PBE-GGA.

N(E_F) in states/eV per atom: 1.596
Calculated density in g/cm3: 13.25
Magnetization in μB per formula unit: 0.00

Lattice parameters (Å, degrees): 2.8185 2.8185 7.1397 90.00 90.00 120.00
Space group P3m1 (No. 156)
Inequivalent atoms, fractional coordinates:
U  0.0000  0.0000  0.0000
V  0.6667  0.3333  0.3519
Rh  0.3333  0.6667  0.6305



Model two:
Crystalline UVRh at its relaxed geometry. Source: the Alexandria database, functional PBE-GGA.

N(E_F) in states/eV per atom: 1.497
Calculated density in g/cm3: 12.54
Magnetization in μB per formula unit: 0.00

Lattice parameters (Å, degrees): 3.6075 3.6075 7.9735 90.00 90.00 90.00
Space group I4mm (No. 107)
Inequivalent atoms, fractional coordinates:
U  0.0000  0.0000  0.0000
V  0.0000  0.0000  0.2872
Rh  0.0000  0.0000  0.6620



Winner for stability: model two